## BaNa2Bi (meta-GGA SCAN)

Data for BaNa2Bi at its PBEsol-relaxed geometry.

Properties
**Density of states at the Fermi level**: 3.701 states/eV/cell
**DFT total energy**: -1.1759 hartree per atom
**Space-group type**: I-42d (122)
**Formation enthalpy at 0 K**: -1.43 eV per formula unit
**Calculated volume**: 38.36 Å³ per atom

Cell lengths 5.0365, 5.0365, 12.6111 Å; angles 101.52, 101.52, 90.00 degrees
Atoms (fractional coordinates):
Na: 0.3151 0.8750 0.2500
Na: 0.9349 0.3750 0.2500
Na: 0.1250 0.0651 0.7500
Na: 0.6250 0.6849 0.7500
Bi: 0.2500 0.7500 0.5000
Bi: 0.0000 0.0000 0.0000
Ba: 0.7500 0.2500 0.5000
Ba: 0.5000 0.5000 0.0000

## Li2TlPd2 (meta-GGA SCAN)

Data for Li2TlPd2 at its PBEsol-relaxed geometry.

Properties
**Density of states at the Fermi level**: 2.790 states/eV/cell
**DFT total energy**: -1.0613 hartree per atom
**Space-group type**: P4/mbm (127)
**Formation enthalpy at 0 K**: -1.72 eV per formula unit
**Calculated volume**: 15.60 Å³ per atom

Cell lengths 3.0375, 7.1656, 7.1656 Å; angles 90.00, 90.00, 90.00 degrees
Atoms (fractional coordinates):
Tl: 0.0000 0.0000 0.0000
Tl: 0.0000 0.5000 0.5000
Pd: 0.0000 0.3632 0.8632
Pd: 0.0000 0.8632 0.6368
Pd: 0.0000 0.6368 0.1368
Pd: 0.0000 0.1368 0.3632
Li: 0.5000 0.1577 0.6577
Li: 0.5000 0.6577 0.8423
Li: 0.5000 0.8423 0.3423
Li: 0.5000 0.3423 0.1577

## TaPOs2 (meta-GGA SCAN)

Data for TaPOs2 at its PBEsol-relaxed geometry.

Properties
**Density of states at the Fermi level**: 3.219 states/eV/cell
**DFT total energy**: -2.0145 hartree per atom
**Space-group type**: Cmm2 (35)
**Formation enthalpy at 0 K**: 1.47 eV per formula unit
**Calculated volume**: 14.64 Å³ per atom

Cell lengths 2.7985, 2.7985, 8.2821 Å; angles 90.00, 90.00, 115.50 degrees
Atoms (fractional coordinates):
Os: 0.0000 0.0000 0.0021
Os: 0.5000 0.5000 0.7231
P: 0.0000 0.0000 0.5095
Ta: 0.5000 0.5000 0.2653